First-principles (PBE) data for an optimized crystal structure of Li2NiMo, as listed in Alexandria.

## Properties
Energy: -4.687 eV/atom
Density: 5.0 Mg/m³
Polymorph energy (0 for the lowest one): 268.2 meV per atom
Space group: I4/mmm (139)
Total magnetization: 0.001 μB/f.u.
Energy of formation from the pure elements: 423 meV/atom

Geometry as extended XYZ:
```
4
Lattice="5.246 0.019 0.000 2.951 4.337 0.000 -4.098 -2.178 2.445" Properties=species:S:1:pos:R:3 pbc="T T T"
Mo 1.475 2.169 1.223
Li 4.098 2.178 0.000
Li 0.000 0.000 0.000
Ni 2.623 0.009 1.223
```